Record 1
! PmTmAg2Te4 | Alexandria via LeMat-Bulk | PBE | optimized geometry; values from VASP
! * space-group type: I222
&SYSTEM
  ibrav = 0, nat = 8, ntyp = 4
/
ATOMIC_SPECIES
Pm 145.00 Pm.upf
Tm 168.93 Tm.upf
Ag 107.87 Ag.upf
Te 127.60 Te.upf
CELL_PARAMETERS angstrom
7.501 0.000 0.000
3.751 6.001 -0.574
3.751 -0.080 6.028
ATOMIC_POSITIONS crystal
Pm 0.000 0.000 0.000
Tm 0.500 0.500 0.500
Ag 0.188 0.312 0.312
Ag 0.812 0.688 0.688
Te 0.519 0.088 0.446
Te 0.053 0.912 0.554
Te 0.947 0.446 0.088
Te 0.481 0.554 0.912


Record 2
! Pm2UAgTe5 | Alexandria via LeMat-Bulk | PBE | optimized geometry; values from VASP
! * space-group type: Cmc2_1
&SYSTEM
  ibrav = 0, nat = 18, ntyp = 4
/
ATOMIC_SPECIES
Pm 145.00 Pm.upf
U 238.03 U.upf
Ag 107.87 Ag.upf
Te 127.60 Te.upf
CELL_PARAMETERS angstrom
-1.203 -4.191 -0.049
4.396 1.106 -8.540
11.732 -3.432 5.594
ATOMIC_POSITIONS crystal
Pm 0.873 0.746 0.804
Pm 0.112 0.225 0.686
Pm 0.127 0.254 0.304
Pm 0.888 0.775 0.186
U 0.806 0.612 0.509
U 0.194 0.388 0.009
Ag 0.566 0.131 0.958
Ag 0.434 0.869 0.458
Te 0.360 0.721 0.000
Te 0.693 0.386 0.840
Te 0.498 0.996 0.778
Te 0.287 0.574 0.671
Te 0.957 0.915 0.578
Te 0.640 0.279 0.500
Te 0.307 0.614 0.340
Te 0.502 0.004 0.278
Te 0.713 0.426 0.171
Te 0.043 0.085 0.078


Record 3
! Pm2YAgTe5 | Alexandria via LeMat-Bulk | PBE | optimized geometry; values from VASP
! * space-group type: Cmc2_1
&SYSTEM
  ibrav = 0, nat = 18, ntyp = 4
/
ATOMIC_SPECIES
Pm 145.00 Pm.upf
Y 88.91 Y.upf
Ag 107.87 Ag.upf
Te 127.60 Te.upf
CELL_PARAMETERS angstrom
-1.418 -3.283 -2.526
3.649 -4.589 7.711
-11.881 0.554 5.952
ATOMIC_POSITIONS crystal
Pm 0.874 0.749 0.804
Pm 0.111 0.222 0.686
Pm 0.126 0.251 0.304
Pm 0.889 0.778 0.186
Y 0.808 0.616 0.509
Y 0.192 0.384 0.009
Ag 0.568 0.136 0.960
Ag 0.432 0.864 0.460
Te 0.357 0.714 0.999
Te 0.694 0.387 0.840
Te 0.498 0.997 0.779
Te 0.286 0.572 0.669
Te 0.958 0.916 0.578
Te 0.643 0.286 0.499
Te 0.306 0.613 0.340
Te 0.502 0.003 0.279
Te 0.714 0.428 0.169
Te 0.042 0.084 0.078


Record 4
! Pm2YAg3Te6 | Alexandria via LeMat-Bulk | PBE | optimized geometry; values from VASP
! * space-group type: C2/m
&SYSTEM
  ibrav = 0, nat = 12, ntyp = 4
/
ATOMIC_SPECIES
Pm 145.00 Pm.upf
Y 88.91 Y.upf
Ag 107.87 Ag.upf
Te 127.60 Te.upf
CELL_PARAMETERS angstrom
4.458 0.000 0.000
0.000 8.534 0.275
-2.229 -2.547 9.623
ATOMIC_POSITIONS crystal
Pm 0.828 0.692 0.657
Pm 0.172 0.308 0.343
Y 0.500 0.000 0.000
Ag 0.500 0.500 0.000
Ag 0.793 0.232 0.586
Ag 0.207 0.768 0.414
Te 0.341 0.960 0.682
Te 0.661 0.572 0.322
Te 0.659 0.040 0.318
Te 0.010 0.258 0.019
Te 0.990 0.742 0.981
Te 0.339 0.428 0.678


Quick rundown of final energy, same order as above: -33.12, -95.39, -90.20, -53.72 eV/cell
Quick rundown of V, same order as above: 33.88, 30.67, 30.53, 30.77 Å³ per atom